Record 1
Below is an optimized crystal structure of MnFe3, with properties calculated at the PBE-GGA level.

a = 4.368 Å, b = 4.368 Å, c = 2.454 Å
α = 90.00°, β = 90.00°, γ = 111.63°
Site moments in Bohr magnetons follow the coordinates.
Atoms (fractional coordinates):
Fe  0.000  0.000  0.000  -1.36
Fe  0.000  0.500  0.500  1.57
Fe  0.500  0.000  0.500  1.57
Mn  0.500  0.500  0.000  -1.81

- M_tot (μB per formula unit) = 0.1
- E_form (eV per formula unit) = 0.25
- SG = Cmmm (65)

Record 2
Below is an optimized crystal structure of Hf2Pd3Rh3, with properties calculated at the PBE-GGA level.

a = 4.030 Å, b = 3.976 Å, c = 7.849 Å
α = 90.00°, β = 90.00°, γ = 90.00°
Atoms (fractional coordinates):
Hf  0.000  0.000  0.746
Hf  0.000  0.000  0.254
Pd  0.500  0.500  0.749
Pd  0.500  0.500  0.251
Pd  0.500  0.000  0.000
Rh  0.500  0.000  0.500
Rh  0.000  0.500  0.000
Rh  0.000  0.500  0.500

- M_tot (μB per formula unit) = 0.0
- E_form (eV per formula unit) = -6.23
- SG = Pmmm (47)

Record 3
Below is an optimized crystal structure of Nd3Co13B2, with properties calculated at the PBE-GGA level.

a = 5.071 Å, b = 5.071 Å, c = 10.772 Å
α = 90.00°, β = 90.00°, γ = 120.00°
Site moments in Bohr magnetons follow the coordinates.
Atoms (fractional coordinates):
Nd  0.000  0.000  0.677  -0.20
Nd  0.000  0.000  0.323  -0.20
Nd  0.000  0.000  0.000  -0.14
Co  0.000  0.500  0.865  0.81
Co  0.500  0.000  0.500  1.53
Co  0.500  0.500  0.500  1.53
Co  0.000  0.500  0.500  1.53
Co  0.333  0.667  0.318  1.61
Co  0.667  0.333  0.318  1.61
Co  0.667  0.333  0.682  1.61
Co  0.333  0.667  0.682  1.61
Co  0.500  0.000  0.135  0.81
Co  0.500  0.500  0.135  0.81
Co  0.000  0.500  0.135  0.81
Co  0.500  0.000  0.865  0.81
Co  0.500  0.500  0.865  0.81
B  0.667  0.333  0.000  -0.04
B  0.333  0.667  0.000  -0.04

- M_tot (μB per formula unit) = 14.5
- E_form (eV per formula unit) = -2.74
- SG = P6/mmm (191)

Record 4
Below is an optimized crystal structure of CoCu2Mo, with properties calculated at the PBE-GGA level.

a = 3.581 Å, b = 2.631 Å, c = 5.987 Å
α = 63.93°, β = 90.00°, γ = 90.00°
Site moments in Bohr magnetons follow the coordinates.
Atoms (fractional coordinates):
Co  0.500  0.754  0.746  0.59
Cu  0.000  0.994  0.006  0.02
Cu  0.500  0.270  0.230  0.04
Mo  0.000  0.482  0.518  0.06

- M_tot (μB per formula unit) = 0.7
- E_form (eV per formula unit) = 0.73
- SG = Pmm2 (25)
- relative energy among the computed polymorphs (eV per atom) = 0.0279

Record 5
Below is an optimized crystal structure of Sm4SnSe5, with properties calculated at the PBE-GGA level.

a = 4.207 Å, b = 4.207 Å, c = 17.370 Å
α = 83.04°, β = 83.04°, γ = 60.00°
Atoms (fractional coordinates):
Sm  0.904  0.904  0.287
Sm  0.300  0.300  0.101
Sm  0.700  0.700  0.899
Sm  0.096  0.096  0.713
Sn  0.500  0.500  0.500
Se  0.398  0.398  0.805
Se  0.000  0.000  0.000
Se  0.602  0.602  0.195
Se  0.798  0.798  0.605
Se  0.202  0.202  0.395

- M_tot (μB per formula unit) = 0.0
- SG = R-3m (166)
- ΔE_f (raw) (eV/atom) = -1.51

Record 6
Below is an optimized crystal structure of Fe2AgHg, with properties calculated at the PBE-GGA level.

a = 5.339 Å, b = 5.339 Å, c = 5.339 Å
α = 147.43°, β = 128.17°, γ = 62.57°
Site moments in Bohr magnetons follow the coordinates.
Atoms (fractional coordinates):
Ag  0.236  0.736  0.500  -0.01
Fe  0.975  0.975  0.000  2.65
Fe  0.775  0.275  0.500  2.72
Hg  0.513  0.513  0.000  -0.05

- M_tot (μB per formula unit) = 5.3
- E_form (eV per formula unit) = 1.53
- SG = Imm2 (44)